[1]
# Pm6Nd3Ho GGA-PBE relaxed
# Calculated formation energy: 137 meV/atom
# Crystal system: orthorhombic
# Raw total energy: -4.602 eV/atom
# Size of the total moment: 0.00 Bohr magnetons per cell
# Excess energy over the best structure of this formula in the dataset: 0.000 eV per atom
data_Pm6Nd3Ho
_chemical_formula_sum 'Pm24 Nd12 Ho4'
_cell_length_a 11.003
_cell_length_b 19.319
_cell_length_c 6.500
_cell_angle_alpha 90.00
_cell_angle_beta 90.00
_cell_angle_gamma 90.00
_symmetry_space_group_name_H-M 'C m c 21'
_symmetry_Int_Tables_number 36
_symmetry_space_group_name_Hall 'C 2c -2'
loop_
_atom_site_label
_atom_site_type_symbol
_atom_site_fract_x
_atom_site_fract_y
_atom_site_fract_z
Pm1 Pm 0.000 0.035 0.000
Pm2 Pm 0.000 0.276 0.789
Pm3 Pm 0.170 0.458 0.695
Pm4 Pm 0.234 0.291 0.506
Nd1 Nd 0.000 0.385 0.218
Nd2 Nd 0.175 0.116 0.601
Ho1 Ho 0.000 0.191 0.253

[2]
# VTcP2 GGA-PBE relaxed
# Calculated formation energy: -435 meV/atom
# Crystal system: trigonal
# Raw total energy: -8.011 eV/atom
# Size of the total moment: 0.01 Bohr magnetons per cell
# Excess energy over the best structure of this formula in the dataset: 0.216 eV per atom
data_VTcP2
_chemical_formula_sum 'V3 Tc3 P6'
_cell_length_a 3.1805
_cell_length_b 3.1805
_cell_length_c 18.9842
_cell_angle_alpha 90.00
_cell_angle_beta 90.00
_cell_angle_gamma 120.00
_symmetry_space_group_name_H-M 'R 3 m'
_symmetry_Int_Tables_number 160
_symmetry_space_group_name_Hall 'R 3 -2"'
loop_
_atom_site_label
_atom_site_type_symbol
_atom_site_fract_x
_atom_site_fract_y
_atom_site_fract_z
V1 V 0.0000 0.0000 0.0000
Tc1 Tc 0.0000 0.0000 0.1616
P1 P 0.0000 0.0000 0.4134
P2 P 0.0000 0.0000 0.5821

[3]
# YNb2Ir GGA-PBE relaxed
# Calculated formation energy: 11 meV/atom
# Crystal system: cubic
# Raw total energy: -8.856 eV/atom
# Size of the total moment: 0.00 Bohr magnetons per cell
# Excess energy over the best structure of this formula in the dataset: 0.000 eV per atom
data_YNb2Ir
_chemical_formula_sum 'Y4 Nb8 Ir4'
_cell_length_a 6.642
_cell_length_b 6.642
_cell_length_c 6.642
_cell_angle_alpha 90.00
_cell_angle_beta 90.00
_cell_angle_gamma 90.00
_symmetry_space_group_name_H-M 'F m -3 m'
_symmetry_Int_Tables_number 225
_symmetry_space_group_name_Hall '-F 4 2 3'
loop_
_atom_site_label
_atom_site_type_symbol
_atom_site_fract_x
_atom_site_fract_y
_atom_site_fract_z
Y1 Y 0.000 0.000 0.000
Nb1 Nb 0.250 0.250 0.250
Ir1 Ir 0.000 0.000 0.500

[4]
# Tb3Pr6Ho2Tl GGA-PBE relaxed
# Calculated formation energy: -6 meV/atom
# Crystal system: monoclinic
# Raw total energy: -4.514 eV/atom
# Size of the total moment: 0.00 Bohr magnetons per cell
data_Tb3Pr6Ho2Tl
_chemical_formula_sum 'Tb6 Pr12 Ho4 Tl2'
_cell_length_a 6.251
_cell_length_b 10.871
_cell_length_c 11.878
_cell_angle_alpha 90.00
_cell_angle_beta 100.33
_cell_angle_gamma 90.00
_symmetry_space_group_name_H-M 'C 1 2/m 1'
_symmetry_Int_Tables_number 12
_symmetry_space_group_name_Hall '-C 2y'
loop_
_atom_site_label
_atom_site_type_symbol
_atom_site_fract_x
_atom_site_fract_y
_atom_site_fract_z
Tb1 Tb 0.000 0.000 0.000
Tb2 Tb 0.000 0.332 0.000
Pr1 Pr 0.246 0.336 0.747
Pr2 Pr 0.246 0.500 0.251
Ho1 Ho 0.000 0.166 0.500
Tl1 Tl 0.000 0.500 0.500